# 1
La5Pm8Tl (PBE, optimized geometry); crystal system = tetragonal; total energy = -4.53 eV per atom; M_tot = 0.000 μB per formula unit; energy of formation = 0.11 eV per atom
1.0
8.3380 0.0000 -2.3885
-4.3866 6.7929 -3.1369
0.4352 0.0000 8.6624
Pm La Tl
8 5 1
Direct
0.6703 0.8869 0.9457
0.0588 0.1131 0.7834
0.0543 0.7246 0.9412
0.1851 0.7456 0.5840
0.4160 0.6012 0.1616
0.2166 0.2754 0.3297
0.8384 0.2544 0.4396
0.5604 0.3988 0.8149
0.9008 0.8296 0.2948
0.4652 0.1704 0.0711
0.5000 0.0000 0.5000
0.7052 0.6060 0.5348
0.9289 0.3940 0.0992
0.2500 0.5000 0.7500

# 2
LaPm2Tl5 (PBE, optimized geometry); crystal system = tetragonal; total energy = -3.59 eV per atom; M_tot = 0.718 μB per formula unit; energy of formation = -0.31 eV per atom
1.0
6.4582 -0.2173 -2.0738
-3.4844 5.4412 -2.0756
0.1197 0.2125 6.7821
Tl Pm La
5 2 1
Direct
0.7780 0.2780 0.0000
0.7776 0.7778 0.4997
0.2780 0.7774 0.0000
0.2779 0.2781 0.5003
0.2779 0.2776 0.0000
0.2778 0.7780 0.5002
0.7775 0.2777 0.4997
0.7784 0.7782 0.0000

# 3
La3Pm3Tl2 (PBE, optimized geometry); crystal system = orthorhombic; total energy = -4.35 eV per atom; polymorph energy (0 for the lowest one) = 94 meV/atom; M_tot = 0.001 μB per formula unit; energy of formation = -0.13 eV per atom
1.0
-0.8300 -4.5217 -2.8809
6.5760 1.1588 1.3952
-1.3978 -8.3699 13.5399
Pm Tl La
6 4 6
Direct
0.5637 0.1273 0.7500
0.6324 0.2649 0.4660
0.6324 0.2649 0.0340
0.4363 0.8727 0.2500
0.3676 0.7351 0.9660
0.3676 0.7351 0.5340
0.7759 0.5517 0.6300
0.7759 0.5517 0.8700
0.2241 0.4483 0.1300
0.2241 0.4483 0.3700
0.0437 0.0874 0.8898
0.2852 0.5703 0.7500
0.9563 0.9126 0.3898
0.9563 0.9126 0.1102
0.0437 0.0874 0.6102
0.7148 0.4297 0.2500

# 4
La8PmTl2 (PBE, optimized geometry); crystal system = orthorhombic; total energy = -4.55 eV per atom; polymorph energy (0 for the lowest one) = 0 meV/atom; M_tot = 0.000 μB per formula unit; energy of formation = -0.10 eV per atom
1.0
5.0642 0.0000 -1.5377
-1.1130 8.2433 -3.6653
0.1424 -0.7329 9.5766
La Tl Pm
8 2 1
Direct
0.3393 0.5592 0.6786
0.0000 0.6753 0.9999
0.3394 0.1195 0.6787
0.6606 0.8805 0.3213
0.1473 0.1472 0.2947
0.8527 0.8528 0.7053
0.6607 0.4408 0.3214
0.0000 0.3247 0.0001
0.8056 0.3056 0.6113
0.1944 0.6944 0.3887
0.5000 0.0000 0.0000

# 5
La2Pm2Tl7 (PBE, optimized geometry); crystal system = monoclinic; total energy = -3.48 eV per atom; M_tot = 0.000 μB per formula unit; energy of formation = -0.22 eV per atom
1.0
-7.1989 3.1614 2.5324
2.0536 -0.8863 4.6532
3.8307 7.2578 0.9385
Pm Tl La
2 7 2
Direct
0.7434 0.3028 0.2566
0.2566 0.6972 0.7434
0.0378 0.2081 0.6053
0.6053 0.7919 0.0378
0.0000 0.0000 0.0000
0.5662 0.7698 0.4338
0.4338 0.2302 0.5662
0.3947 0.2081 0.9622
0.9622 0.7919 0.3947
0.2194 0.5000 0.2194
0.7806 0.5000 0.7806

# 6
La4Pm9Tl11 (PBE, optimized geometry); crystal system = orthorhombic; total energy = -4.01 eV per atom; M_tot = 0.000 μB per formula unit; energy of formation = -0.32 eV per atom
1.0
-3.2825 0.8402 -1.3742
3.4478 -6.7291 -12.3502
-6.2171 -9.3748 9.1191
La Pm Tl
4 9 11
Direct
0.5000 0.5876 0.7515
0.5000 0.7515 0.5876
0.5000 0.2485 0.4124
0.5000 0.4124 0.2485
0.5000 0.3894 0.8390
0.5000 0.5000 0.5000
0.5000 0.7967 0.9877
0.5000 0.8390 0.3894
0.5000 0.1610 0.6106
0.5000 0.2033 0.0123
0.5000 0.0123 0.2033
0.5000 0.9877 0.7967
0.5000 0.6106 0.1610
0.0000 0.6237 0.3763
0.0000 0.5910 0.9564
0.0000 0.7959 0.7959
0.0000 0.0000 0.0000
0.0000 0.1886 0.8114
0.0000 0.2041 0.2041
0.0000 0.9564 0.5910
0.0000 0.8114 0.1886
0.0000 0.3763 0.6237
0.0000 0.0436 0.4090
0.0000 0.4090 0.0436

Please write out number 6 again, unchanged.
La4Pm9Tl11 (PBE, optimized geometry); crystal system = orthorhombic; total energy = -4.01 eV per atom; M_tot = 0.000 μB per formula unit; energy of formation = -0.32 eV per atom
1.0
-3.2825 0.8402 -1.3742
3.4478 -6.7291 -12.3502
-6.2171 -9.3748 9.1191
La Pm Tl
4 9 11
Direct
0.5000 0.5876 0.7515
0.5000 0.7515 0.5876
0.5000 0.2485 0.4124
0.5000 0.4124 0.2485
0.5000 0.3894 0.8390
0.5000 0.5000 0.5000
0.5000 0.7967 0.9877
0.5000 0.8390 0.3894
0.5000 0.1610 0.6106
0.5000 0.2033 0.0123
0.5000 0.0123 0.2033
0.5000 0.9877 0.7967
0.5000 0.6106 0.1610
0.0000 0.6237 0.3763
0.0000 0.5910 0.9564
0.0000 0.7959 0.7959
0.0000 0.0000 0.0000
0.0000 0.1886 0.8114
0.0000 0.2041 0.2041
0.0000 0.9564 0.5910
0.0000 0.8114 0.1886
0.0000 0.3763 0.6237
0.0000 0.0436 0.4090
0.0000 0.4090 0.0436